Entry 1:
Zr5ScTl4 GGA-PBE optimized geometry; size of the total moment = 0.00 μB/f.u.; D(E_F) = 25.41 states/eV/cell; ΔE_f = 0.8 eV per formula unit; space group = Immm, No. 71
1.0
4.1897 0.0000 0.0000
0.0000 10.1924 0.0000
0.0000 0.0000 11.4811
Zr Sc Tl
10 2 8
Cartesian
1.0468 8.3085 7.5789
1.0468 1.8839 7.5789
1.0463 5.0962 0.0000
1.0468 8.3085 3.9022
1.0468 1.8839 3.9022
3.1428 6.9801 1.8383
3.1428 3.2123 1.8383
3.1433 0.0000 5.7405
3.1428 3.2123 9.6427
3.1428 6.9801 9.6427
3.1445 0.0000 0.0000
1.0452 5.0962 5.7405
3.1410 0.0000 8.6775
1.0490 8.1605 0.0000
1.0490 2.0319 0.0000
3.1410 0.0000 2.8036
1.0487 5.0962 2.9369
3.1407 7.1281 5.7405
3.1407 3.0643 5.7405
1.0487 5.0962 8.5441

Entry 2:
ZrScTl GGA-PBE optimized geometry; size of the total moment = 0.00 μB/f.u.; D(E_F) = 1.31 states/eV/cell; ΔE_f = -0.5 eV per formula unit; space group = I4mm, No. 107
1.0
-2.4917 -5.1779 -3.1648
-1.6377 -6.3509 -0.0896
-3.2836 -0.0751 0.8798
Sc Tl Zr
1 1 1
Cartesian
-4.1288 -11.5214 -3.2517
-3.5672 -3.9157 -0.5065
-3.8463 -7.6956 -1.8708

Entry 3:
Zr2ScTl2 GGA-PBE optimized geometry; size of the total moment = 1.41 μB/f.u.; D(E_F) = 9.23 states/eV/cell; ΔE_f = 0.6 eV per formula unit; space group = P4/mbm, No. 127
1.0
8.7076 0.0000 0.0000
0.0000 8.7076 0.0000
0.0000 0.0000 3.2398
Sc Tl Zr
2 4 4
Cartesian
0.0000 0.0000 0.0000
4.3538 4.3538 0.0000
1.5386 5.8924 1.6199
5.8924 7.1690 1.6199
7.1690 2.8152 1.6199
2.8152 1.5386 1.6199
3.2955 7.6492 0.0000
7.6492 5.4121 0.0000
5.4121 1.0583 0.0000
1.0583 3.2955 0.0000

Entry 4:
Zr2ScTl GGA-PBE optimized geometry; size of the total moment = 0.00 μB/f.u.; D(E_F) = 3.16 states/eV/cell; ΔE_f = -0.4 eV per formula unit; space group = I-4m2, No. 119
1.0
5.6391 0.0006 0.0000
2.1972 5.1934 0.0000
-3.9182 -2.5970 3.1149
Sc Tl Zr
1 1 2
Cartesian
3.9182 2.5970 0.0000
2.8196 0.0003 1.5575
0.0000 0.0000 0.0000
1.0986 2.5967 1.5575